Below is crystalline HoAl4Ag8 at its relaxed geometry, with properties calculated at the PBE level.

Results
The value obtained for the formation energy from the elements is -186.7 meV/atom. The space group is No. 139. As for the raw total energy: -3.44 eV per atom.

Lattice parameters (Å, degrees): 7.116 7.116 7.116 98.23 98.23 135.54
Element x y z (fractional)
1 Ho 0.000 0.000 0.000
2 Al 0.000 0.000 0.500
3 Al 0.000 0.500 0.000
4 Al 0.500 0.000 0.000
5 Al 0.500 0.500 0.500
6 Ag 0.000 0.342 0.342
7 Ag 0.000 0.658 0.658
8 Ag 0.284 0.500 0.784
9 Ag 0.342 0.000 0.342
10 Ag 0.500 0.284 0.784
11 Ag 0.500 0.716 0.216
12 Ag 0.658 0.000 0.658
13 Ag 0.716 0.500 0.216